Density functional theory data (PBE with a Hubbard U) for Na2YMnO4 after structural relaxation.

Cell lengths 6.4547, 6.4547, 6.6769 Å; angles 118.73, 118.73, 89.22 degrees
Positions (direct):
Na 0.0000 0.0000 0.0000
Na 0.0000 0.0000 0.5000
Na 0.0000 0.5000 0.0000
Na 0.5000 0.0000 0.5000
Y 0.0000 0.5000 0.5000
Y 0.5000 0.0000 0.0000
Mn 0.5000 0.5000 0.0000
Mn 0.5000 0.5000 0.5000
O 0.2655 0.7116 0.9674
O 0.2718 0.2800 0.4834
O 0.2800 0.2718 0.9834
O 0.2884 0.7345 0.5326
O 0.7116 0.2655 0.4674
O 0.7200 0.7282 0.0166
O 0.7282 0.7200 0.5166
O 0.7345 0.2884 0.0326

Calculated values
DFT total energy ... -6.72 eV per atom